Computed, not measured: a geometry-optimized MnVRu structure at the PBE level of DFT.

```
MnVRu
1.0
2.979 0.000 0.000
0.000 2.979 0.000
-1.489 -1.489 4.532
V Mn Ru
1 1 1
direct
0.950 0.950 0.900
0.609 0.609 0.219
0.291 0.291 0.581
```

Properties
Distance to the lowest polymorph of the same formula = 0.0632 eV/atom
Energy of formation from the pure elements = -10.97 kJ per mole of atoms


Computed, not measured: a geometry-optimized MnV3Ru2 structure at the PBE level of DFT.

```
MnV3Ru2
1.0
4.194 0.000 0.017
2.097 6.286 0.008
-0.024 0.000 5.944
Ru V Mn
4 6 2
direct
0.334 0.331 0.500
0.000 0.000 0.000
0.666 0.669 0.500
0.000 0.000 0.500
0.500 0.000 0.758
0.171 0.658 0.765
0.171 0.658 0.235
0.829 0.342 0.235
0.500 0.000 0.242
0.829 0.342 0.765
0.334 0.332 0.000
0.666 0.668 0.000
```

Properties
Distance to the lowest polymorph of the same formula = 0.0066 eV/atom
Energy of formation from the pure elements = -24.67 kJ per mole of atoms


Computed, not measured: a geometry-optimized Mn2V2Ru structure at the PBE level of DFT.

```
Mn2V2Ru
1.0
-1.092 -2.297 1.490
2.722 -0.961 0.514
1.575 3.485 6.528
Mn V Ru
2 2 1
direct
0.000 0.809 0.381
0.000 0.191 0.619
0.500 0.608 0.784
0.500 0.392 0.216
0.000 0.000 0.000
```

Properties
Distance to the lowest polymorph of the same formula = 0.0000 eV/atom
Energy of formation from the pure elements = 1.28 kJ per mole of atoms


Computed, not measured: a geometry-optimized MnVRu2W structure at the PBE level of DFT.

```
MnVRu2W
1.0
-0.674 0.337 4.272
-0.429 -4.184 0.262
4.262 -0.393 0.704
Ru V Mn W
2 1 1 1
direct
0.000 0.000 0.500
0.500 0.000 0.000
0.000 0.500 0.000
0.000 0.000 0.000
0.500 0.500 0.500
```

Properties
Energy of formation from the pure elements = 115.31 kJ per mole of atoms